SrAg4Hg | PBE | relaxed

Unit cell a=5.7356 b=5.7356 c=5.7356 alpha=60.00 beta=60.00 gamma=60.00
Closest atoms and distances in Å follow each position.
Sites, in units of the cell vectors:
Ag 0.1264 0.6245 0.6245  6 Ag 2.86-2.88
Ag 0.6245 0.6245 0.6245  6 Ag 2.86-2.88
Hg 0.2500 0.2500 0.2500  12 Ag 3.36, 4 Sr 3.51
Ag 0.6245 0.1264 0.6245  6 Ag 2.86-2.88
Sr 0.0000 0.0000 0.0000  12 Ag 3.36, 4 Hg 3.51
Ag 0.6245 0.6245 0.1264  6 Ag 2.86-2.88

Magnetization: 0.00 μB per formula unit
Energy of formation: -176 meV/atom
Symmetry: F-43m
Final energy: -2.407 eV per atom